Density functional theory data (PBE) for an optimized crystal structure of Co3GeH.

Cell and atoms, written as POSCAR:
```
Co3GeH
1.0
3.814 0.000 0.000
-0.029 5.070 0.000
-0.068 -1.734 5.039
Co Ge H
6 2 2
Direct
0.225 0.428 0.156 Co
0.234 0.915 0.126 Co
0.241 0.220 0.602 Co
0.759 0.780 0.398 Co
0.766 0.085 0.874 Co
0.775 0.572 0.844 Co
0.261 0.756 0.655 Ge
0.739 0.244 0.345 Ge
0.478 0.328 0.877 H
0.522 0.672 0.123 H
```

Properties
- D(E_F) (states/eV/cell) = 10.51
- electronic total energy (hartree per atom) = -0.2160
- SG = P-1, No. 2
- relative energy among the computed polymorphs (meV per atom) = 105
- M_tot (μB per atom) = 0.532


Density functional theory data (PBE) for an optimized crystal structure of Co3GeH.

Cell and atoms, written as POSCAR:
```
Co3GeH
1.0
3.617 0.000 0.000
0.000 5.074 0.000
-0.170 0.000 5.164
Co Ge H
6 2 2
Direct
0.000 0.000 0.000 Co
0.005 0.500 0.503 Co
0.482 0.238 0.251 Co
0.482 0.762 0.251 Co
0.515 0.242 0.755 Co
0.515 0.758 0.755 Co
0.000 0.000 0.501 Ge
0.047 0.500 0.971 Ge
0.478 0.500 0.536 H
0.731 0.500 0.249 H
```

Properties
- D(E_F) (states/eV/cell) = 8.55
- electronic total energy (hartree per atom) = -0.2153
- SG = Pm, No. 6
- relative energy among the computed polymorphs (meV per atom) = 122
- M_tot (μB per atom) = 0.044


Density functional theory data (PBE) for an optimized crystal structure of Co3GeH.

Cell and atoms, written as POSCAR:
```
Co3GeH
1.0
4.205 -5.080 0.000
4.205 5.080 0.000
-0.197 0.000 4.564
Co Ge H
12 4 4
Direct
0.055 0.191 0.584 Co
0.068 0.689 0.905 Co
0.191 0.055 0.084 Co
0.196 0.553 0.431 Co
0.311 0.932 0.595 Co
0.447 0.804 0.069 Co
0.553 0.196 0.931 Co
0.689 0.068 0.405 Co
0.804 0.447 0.569 Co
0.809 0.945 0.916 Co
0.932 0.311 0.095 Co
0.945 0.809 0.416 Co
0.279 0.431 0.937 Ge
0.431 0.279 0.437 Ge
0.569 0.721 0.563 Ge
0.721 0.569 0.063 Ge
0.059 0.941 0.750 H
0.193 0.807 0.250 H
0.807 0.193 0.750 H
0.941 0.059 0.250 H
```

Properties
- D(E_F) (states/eV/cell) = 17.13
- electronic total energy (hartree per atom) = -0.2152
- SG = C2/c, No. 15
- relative energy among the computed polymorphs (meV per atom) = 126
- M_tot (μB per atom) = 0.694


Density functional theory data (PBE) for an optimized crystal structure of Co3GeH.

Cell and atoms, written as POSCAR:
```
Co3GeH
1.0
4.755 -4.185 0.000
4.755 4.185 0.000
-1.412 0.000 4.999
Co Ge H
12 4 4
Direct
0.055 0.656 0.430 Co
0.058 0.657 0.926 Co
0.292 0.296 0.397 Co
0.296 0.292 0.897 Co
0.343 0.942 0.574 Co
0.344 0.945 0.070 Co
0.656 0.055 0.930 Co
0.657 0.058 0.426 Co
0.704 0.708 0.103 Co
0.708 0.704 0.603 Co
0.942 0.343 0.074 Co
0.945 0.344 0.570 Co
0.005 0.995 0.250 Ge
0.395 0.605 0.750 Ge
0.605 0.395 0.250 Ge
0.995 0.005 0.750 Ge
0.180 0.480 0.164 H
0.480 0.180 0.664 H
0.520 0.820 0.336 H
0.820 0.520 0.836 H
```

Properties
- D(E_F) (states/eV/cell) = 15.50
- electronic total energy (hartree per atom) = -0.2151
- SG = C2/c, No. 15
- relative energy among the computed polymorphs (meV per atom) = 129
- M_tot (μB per atom) = 0.650


Density functional theory data (PBE) for an optimized crystal structure of CoGeH2.

Cell and atoms, written as POSCAR:
```
CoGeH2
1.0
-2.156 2.156 3.988
2.156 -2.156 3.988
2.156 2.156 -3.988
Co Ge H
2 2 4
Direct
0.000 0.000 0.000 Co
0.750 0.250 0.500 Co
0.250 0.750 0.500 Ge
0.500 0.500 0.000 Ge
0.002 0.625 0.877 H
0.375 0.252 0.377 H
0.748 0.125 0.123 H
0.875 0.998 0.623 H
```

Properties
- D(E_F) (states/eV/cell) = 4.31
- electronic total energy (hartree per atom) = -0.1563
- SG = I-42d, No. 122
- relative energy among the computed polymorphs (meV per atom) = 0
- M_tot (μB per atom) = 0.000


Density functional theory data (PBE) for an optimized crystal structure of CoGeH.

Cell and atoms, written as POSCAR:
```
CoGeH
1.0
-1.501 1.501 3.600
1.501 -1.501 3.600
1.501 1.501 -3.600
Co Ge H
1 1 1
Direct
0.000 0.000 0.000 Co
0.668 0.668 0.000 Ge
0.212 0.212 0.000 H
```

Properties
- D(E_F) (states/eV/cell) = 1.15
- electronic total energy (hartree per atom) = -0.1766
- SG = I4mm, No. 107
- relative energy among the computed polymorphs (meV per atom) = 261
- M_tot (μB per atom) = 0.032


Density functional theory data (PBE) for an optimized crystal structure of Co2GeH2.

Cell and atoms, written as POSCAR:
```
Co2GeH2
1.0
2.551 -3.870 0.000
2.551 3.870 0.000
-2.309 0.000 4.135
Co Ge H
4 2 4
Direct
0.075 0.925 0.750 Co
0.303 0.697 0.250 Co
0.697 0.303 0.750 Co
0.925 0.075 0.250 Co
0.382 0.618 0.750 Ge
0.618 0.382 0.250 Ge
0.018 0.258 0.999 H
0.258 0.018 0.499 H
0.742 0.982 0.501 H
0.982 0.742 0.001 H
```

Properties
- D(E_F) (states/eV/cell) = 7.20
- electronic total energy (hartree per atom) = -0.1857
- SG = C2/c, No. 15
- relative energy among the computed polymorphs (meV per atom) = 55
- M_tot (μB per atom) = 0.000


Density functional theory data (PBE) for an optimized crystal structure of Co2Ge2H.

Cell and atoms, written as POSCAR:
```
Co2Ge2H
1.0
5.473 0.000 0.000
0.000 5.473 0.000
0.000 0.000 3.756
Co Ge H
4 4 2
Direct
0.165 0.335 0.000 Co
0.335 0.835 0.000 Co
0.665 0.165 0.000 Co
0.835 0.665 0.000 Co
0.161 0.661 0.500 Ge
0.339 0.161 0.500 Ge
0.661 0.839 0.500 Ge
0.839 0.339 0.500 Ge
0.000 0.000 0.000 H
0.500 0.500 0.000 H
```

Properties
- D(E_F) (states/eV/cell) = 6.31
- electronic total energy (hartree per atom) = -0.1919
- SG = P4/mbm, No. 127
- relative energy among the computed polymorphs (meV per atom) = 175
- M_tot (μB per atom) = 0.000


Density functional theory data (PBE) for an optimized crystal structure of CoGe2H2.

Cell and atoms, written as POSCAR:
```
CoGe2H2
1.0
-1.450 1.450 5.961
1.450 -1.450 5.961
1.450 1.450 -5.961
Co Ge H
1 2 2
Direct
0.000 0.000 0.000 Co
0.374 0.374 0.000 Ge
0.626 0.626 0.000 Ge
0.250 0.750 0.500 H
0.750 0.250 0.500 H
```

Properties
- D(E_F) (states/eV/cell) = 1.60
- electronic total energy (hartree per atom) = -0.1552
- SG = I4/mmm, No. 139
- M_tot (μB per atom) = 0.121


Density functional theory data (PBE) for an optimized crystal structure of Co2GeH2.

Cell and atoms, written as POSCAR:
```
Co2GeH2
1.0
5.531 0.000 0.000
0.000 5.531 0.000
0.000 0.000 2.669
Co Ge H
4 2 4
Direct
0.161 0.339 0.000 Co
0.339 0.839 0.000 Co
0.661 0.161 0.000 Co
0.839 0.661 0.000 Co
0.000 0.000 0.500 Ge
0.500 0.500 0.500 Ge
0.068 0.568 0.500 H
0.432 0.068 0.500 H
0.568 0.932 0.500 H
0.932 0.432 0.500 H
```

Properties
- D(E_F) (states/eV/cell) = 2.04
- electronic total energy (hartree per atom) = -0.1780
- SG = P4/mbm, No. 127
- relative energy among the computed polymorphs (meV per atom) = 267
- M_tot (μB per atom) = 0.000


Density functional theory data (PBE) for an optimized crystal structure of CoGe2H.

Cell and atoms, written as POSCAR:
```
CoGe2H
1.0
-2.203 2.203 5.910
2.203 -2.203 5.910
2.203 2.203 -5.910
Co Ge H
2 4 2
Direct
0.000 0.000 0.000 Co
0.750 0.250 0.500 Co
0.186 0.625 0.061 Ge
0.375 0.436 0.561 Ge
0.564 0.125 0.939 Ge
0.875 0.814 0.439 Ge
0.250 0.750 0.500 H
0.500 0.500 0.000 H
```

Properties
- D(E_F) (states/eV/cell) = 4.38
- electronic total energy (hartree per atom) = -0.1630
- SG = I-42d, No. 122
- relative energy among the computed polymorphs (meV per atom) = 78
- M_tot (μB per atom) = 0.000


Density functional theory data (PBE) for an optimized crystal structure of Co5Ge2H2.

Cell and atoms, written as POSCAR:
```
Co5Ge2H2
1.0
5.123 -1.932 0.000
5.123 1.932 0.000
-2.025 0.000 4.627
Co Ge H
5 2 2
Direct
0.000 0.000 0.000 Co
0.119 0.119 0.611 Co
0.340 0.340 0.071 Co
0.660 0.660 0.929 Co
0.881 0.881 0.389 Co
0.389 0.389 0.659 Ge
0.611 0.611 0.341 Ge
0.162 0.162 0.980 H
0.838 0.838 0.020 H
```

Properties
- D(E_F) (states/eV/cell) = 10.55
- electronic total energy (hartree per atom) = -0.2073
- SG = C2/m, No. 12
- M_tot (μB per atom) = 0.355


Density functional theory data (PBE) for an optimized crystal structure of Co3GeH.

Cell and atoms, written as POSCAR:
```
Co3GeH
1.0
5.270 -2.548 0.000
5.270 2.548 0.000
-0.057 0.000 3.583
Co Ge H
6 2 2
Direct
0.000 0.000 0.000 Co
0.125 0.630 0.478 Co
0.246 0.246 0.981 Co
0.391 0.859 0.463 Co
0.630 0.125 0.478 Co
0.859 0.391 0.463 Co
0.488 0.488 0.976 Ge
0.764 0.764 0.971 Ge
0.114 0.114 0.714 H
0.270 0.270 0.462 H
```

Properties
- D(E_F) (states/eV/cell) = 9.69
- electronic total energy (hartree per atom) = -0.2161
- SG = Cm, No. 8
- relative energy among the computed polymorphs (meV per atom) = 102
- M_tot (μB per atom) = 0.505


Density functional theory data (PBE) for an optimized crystal structure of CoGeH3.

Cell and atoms, written as POSCAR:
```
CoGeH3
1.0
3.586 0.000 0.000
0.000 3.586 0.000
0.000 0.000 3.586
Co Ge H
1 1 3
Direct
0.000 0.000 0.000 Co
0.500 0.500 0.500 Ge
0.000 0.500 0.500 H
0.500 0.000 0.500 H
0.500 0.500 0.000 H
```

Properties
- D(E_F) (states/eV/cell) = 2.73
- electronic total energy (hartree per atom) = -0.1244
- SG = Pm-3m, No. 221
- relative energy among the computed polymorphs (meV per atom) = 673
- M_tot (μB per atom) = 0.364


Density functional theory data (PBE) for an optimized crystal structure of Co3GeH.

Cell and atoms, written as POSCAR:
```
Co3GeH
1.0
3.868 -3.282 0.000
3.868 3.282 0.000
-0.040 0.000 3.854
Co Ge H
6 2 2
Direct
0.109 0.109 0.223 Co
0.168 0.592 0.232 Co
0.408 0.832 0.768 Co
0.592 0.168 0.232 Co
0.832 0.408 0.768 Co
0.891 0.891 0.777 Co
0.327 0.327 0.737 Ge
0.673 0.673 0.263 Ge
0.153 0.847 0.500 H
0.847 0.153 0.500 H
```

Properties
- D(E_F) (states/eV/cell) = 8.44
- electronic total energy (hartree per atom) = -0.2171
- SG = C2/m, No. 12
- relative energy among the computed polymorphs (meV per atom) = 75
- M_tot (μB per atom) = 0.619


Density functional theory data (PBE) for an optimized crystal structure of CoGeH3.

Cell and atoms, written as POSCAR:
```
CoGeH3
1.0
3.391 0.000 0.000
0.000 3.391 0.000
0.000 0.000 3.391
Co Ge H
1 1 3
Direct
0.000 0.000 0.000 Co
0.500 0.500 0.500 Ge
0.000 0.000 0.500 H
0.000 0.500 0.000 H
0.500 0.000 0.000 H
```

Properties
- D(E_F) (states/eV/cell) = 1.33
- electronic total energy (hartree per atom) = -0.1491
- SG = Pm-3m, No. 221
- relative energy among the computed polymorphs (meV per atom) = 0
- M_tot (μB per atom) = 0.000


Density functional theory data (PBE) for an optimized crystal structure of CoGeH.

Cell and atoms, written as POSCAR:
```
CoGeH
1.0
3.580 0.000 0.000
0.000 3.580 0.000
0.000 0.000 6.536
Co Ge H
2 2 2
Direct
0.250 0.750 0.000 Co
0.750 0.250 0.000 Co
0.250 0.250 0.226 Ge
0.750 0.750 0.774 Ge
0.250 0.250 0.463 H
0.750 0.750 0.537 H
```

Properties
- D(E_F) (states/eV/cell) = 2.49
- electronic total energy (hartree per atom) = -0.1771
- SG = P4/nmm, No. 129
- relative energy among the computed polymorphs (meV per atom) = 246
- M_tot (μB per atom) = 0.000


Density functional theory data (PBE) for an optimized crystal structure of Co3GeH.

Cell and atoms, written as POSCAR:
```
Co3GeH
1.0
2.480 -4.053 0.000
2.480 4.053 0.000
0.000 0.000 5.145
Co Ge H
6 2 2
Direct
0.000 0.000 0.000 Co
0.000 0.000 0.500 Co
0.043 0.473 0.750 Co
0.473 0.043 0.250 Co
0.527 0.957 0.750 Co
0.957 0.527 0.250 Co
0.455 0.545 0.250 Ge
0.545 0.455 0.750 Ge
0.141 0.859 0.750 H
0.859 0.141 0.250 H
```

Properties
- D(E_F) (states/eV/cell) = 13.44
- electronic total energy (hartree per atom) = -0.2091
- SG = Cmcm, No. 63
- relative energy among the computed polymorphs (meV per atom) = 290
- M_tot (μB per atom) = 0.720


Density functional theory data (PBE) for an optimized crystal structure of Co2GeH2.

Cell and atoms, written as POSCAR:
```
Co2GeH2
1.0
-1.439 1.439 4.834
1.439 -1.439 4.834
1.439 1.439 -4.834
Co Ge H
2 1 2
Direct
0.143 0.143 0.000 Co
0.857 0.857 0.000 Co
0.500 0.500 0.000 Ge
0.250 0.750 0.500 H
0.750 0.250 0.500 H
```

Properties
- D(E_F) (states/eV/cell) = 3.01
- electronic total energy (hartree per atom) = -0.1878
- SG = I4/mmm, No. 139
- relative energy among the computed polymorphs (meV per atom) = 0
- M_tot (μB per atom) = 0.000


Density functional theory data (PBE) for an optimized crystal structure of Co3GeH.

Cell and atoms, written as POSCAR:
```
Co3GeH
1.0
4.435 -2.533 0.000
4.435 2.533 0.000
-1.421 0.000 4.219
Co Ge H
6 2 2
Direct
0.000 0.000 0.000 Co
0.006 0.500 0.002 Co
0.250 0.749 0.525 Co
0.500 0.006 0.002 Co
0.749 0.250 0.525 Co
0.759 0.759 0.513 Co
0.239 0.239 0.490 Ge
0.505 0.505 0.048 Ge
0.641 0.641 0.725 H
0.876 0.876 0.253 H
```

Properties
- D(E_F) (states/eV/cell) = 6.54
- electronic total energy (hartree per atom) = -0.2167
- SG = Cm, No. 8
- relative energy among the computed polymorphs (meV per atom) = 86
- M_tot (μB per atom) = 0.453